#one
The following is a DFT calculation (PBE) of a relaxed CrH3Os crystal.

Output
Mass density   11.485 g cm⁻³
V   35 Å³ per cell

Cell: 3.285 3.285 3.285 Å, 90.00 90.00 90.00°
Space group Pm-3m (No. 221)
Unique sites:
Cr: 0.000 0.000 0.000
H: 0.000 0.000 0.500
Os: 0.500 0.500 0.500

#two
The following is a DFT calculation (PBE) of a relaxed CrH3Os crystal.

Output
Mass density   10.487 g cm⁻³
V   39 Å³ per cell

Cell: 3.386 3.386 3.386 Å, 90.00 90.00 90.00°
Space group Pm-3m (No. 221)
Unique sites:
Cr: 0.000 0.000 0.000
H: 0.000 0.500 0.500
Os: 0.500 0.500 0.500

Name the least stable of them. #one.

#one
The following is a DFT calculation (PBE) of a relaxed CrH2Os crystal.

Output
Mass density   12.397 g cm⁻³
V   131 Å³ per cell

Cell: 4.013 4.013 8.126 Å, 90.00 90.00 90.00°
Space group I-42d (No. 122)
Unique sites:
Cr: 0.000 0.000 0.000
H: 0.234 0.250 0.125
Os: 0.000 0.000 0.500

#two
The following is a DFT calculation (PBE) of a relaxed CrH2Os crystal.

Output
Mass density   11.897 g cm⁻³
V   136 Å³ per cell

Cell: 5.147 5.147 5.147 Å, 90.00 90.00 90.00°
Space group Fm-3m (No. 225)
Unique sites:
Cr: 0.000 0.000 0.000
H: 0.250 0.250 0.250
Os: 0.000 0.000 0.500

Name the least stable of them. #two.